# 1
VASP calculation (PBE) on a geometry-optimized Pr2DyTl2Cd4 structure.

Unit cell a=4.6650 b=7.6542 c=7.6542 alpha=119.15 beta=90.00 gamma=90.00
Last column: nearest neighbours and their distance in Å.
Sites, in units of the cell vectors:
Pr 0.0000 0.5755 0.9975  5 Cd 3.27-3.64, 4 Tl 3.29-3.30
Dy 0.0000 0.4212 0.4212  3 Cd 3.20-3.53, 4 Tl 3.23
Tl 0.5000 0.6607 0.3350  3 Cd 2.98-3.02, 2 Dy 3.23, 4 Pr 3.29-3.30
Cd 0.5000 0.9994 0.2387  4 Cd 2.94-3.18, 2 Tl 2.99-3.02
Cd 0.5000 0.7636 0.7636  2 Tl 2.98, 4 Cd 3.01-3.18
Pr 0.0000 0.9975 0.5755  5 Cd 3.27-3.64, 4 Tl 3.29-3.30
Cd 0.0000 0.0084 0.0084  6 Cd 2.94-3.01, 1 Dy 3.20, 2 Pr 3.27
Cd 0.5000 0.2387 0.9994  4 Cd 2.94-3.18, 2 Tl 2.99-3.02
Tl 0.5000 0.3350 0.6607  3 Cd 2.98-3.02, 2 Dy 3.23, 4 Pr 3.29-3.30

Values from the calculation:
For the total magnetic moment, the calculation gives 0.00 μB per atom. For the electronic total energy, the calculation gives -2.86 eV per atom.

---

# 2
VASP calculation (PBE) on a geometry-optimized DyCdPt structure.

Unit cell a=4.7722 b=4.7722 c=4.7722 alpha=60.00 beta=60.00 gamma=60.00
Last column: nearest neighbours and their distance in Å.
Sites, in units of the cell vectors:
Dy 0.2500 0.2500 0.2500  4 Cd 2.92, 4 Pt 2.92
Pt 0.0000 0.0000 0.0000  4 Dy 2.92
Cd 0.5000 0.5000 0.5000  4 Dy 2.92

Values from the calculation:
The energy of formation from the pure elements comes out at -0.86 eV/f.u. For the total magnetic moment, the calculation gives 0.00 μB per atom.

---

# 3
VASP calculation (PBE) on a geometry-optimized DyCdPt structure.

Unit cell a=4.7034 b=4.7034 c=4.7034 alpha=60.00 beta=60.00 gamma=60.00
Last column: nearest neighbours and their distance in Å.
Sites, in units of the cell vectors:
Cd 0.2500 0.2500 0.2500  4 Pt 2.88
Dy 0.7500 0.7500 0.7500  4 Pt 2.88
Pt 0.0000 0.0000 0.0000  4 Cd 2.88, 4 Dy 2.88

Values from the calculation:
The energy of formation from the pure elements comes out at -2.37 eV/f.u. For the total magnetic moment, the calculation gives 0.00 μB per atom.

---

# 4
VASP calculation (PBE) on a geometry-optimized TbDy2CdPt4 structure.

Unit cell a=4.8821 b=4.8821 c=6.8863 alpha=90.00 beta=90.00 gamma=90.00
Last column: nearest neighbours and their distance in Å.
Sites, in units of the cell vectors:
Cd 0.0000 0.0000 0.5000  8 Pt 3.00
Pt 0.0000 0.5000 0.2464  4 Dy 2.97-3.00, 2 Tb 2.97, 2 Cd 3.00
Tb 0.5000 0.5000 0.0000  8 Pt 2.97
Pt 0.5000 0.0000 0.2464  2 Tb 2.97, 4 Dy 2.97-3.00, 2 Cd 3.00
Pt 0.0000 0.5000 0.7536  4 Dy 2.97-3.00, 2 Tb 2.97, 2 Cd 3.00
Dy 0.0000 0.0000 0.0000  8 Pt 2.97
Dy 0.5000 0.5000 0.5000  8 Pt 3.00
Pt 0.5000 0.0000 0.7536  2 Tb 2.97, 4 Dy 2.97-3.00, 2 Cd 3.00

Values from the calculation:
The energy of formation from the pure elements comes out at -8.24 eV/f.u. For the total magnetic moment, the calculation gives 0.00 μB per atom.

---

# 5
VASP calculation (PBE) on a geometry-optimized Dy2YCdPt4 structure.

Unit cell a=4.8790 b=4.8790 c=6.8850 alpha=90.00 beta=90.00 gamma=90.00
Last column: nearest neighbours and their distance in Å.
Sites, in units of the cell vectors:
Cd 0.0000 0.0000 0.5000  8 Pt 3.00
Pt 0.5000 0.0000 0.7531  4 Dy 2.97-3.00, 2 Y 2.97, 2 Cd 3.00
Pt 0.0000 0.5000 0.7531  2 Y 2.97, 4 Dy 2.97-3.00, 2 Cd 3.00
Dy 0.0000 0.0000 0.0000  8 Pt 2.97
Y 0.5000 0.5000 0.0000  8 Pt 2.97
Pt 0.0000 0.5000 0.2469  2 Y 2.97, 4 Dy 2.97-3.00, 2 Cd 3.00
Pt 0.5000 0.0000 0.2469  4 Dy 2.97-3.00, 2 Y 2.97, 2 Cd 3.00
Dy 0.5000 0.5000 0.5000  8 Pt 3.00

Values from the calculation:
The energy of formation from the pure elements comes out at -8.22 eV/f.u. For the total magnetic moment, the calculation gives 0.00 μB per atom.

---

# 6
VASP calculation (PBE) on a geometry-optimized Dy2ZnCdPt4 structure.

Unit cell a=4.7319 b=4.7319 c=6.7328 alpha=90.00 beta=90.00 gamma=90.00
Last column: nearest neighbours and their distance in Å.
Sites, in units of the cell vectors:
Pt 0.0000 0.5000 0.7388  2 Zn 2.86, 4 Dy 2.86-2.95, 2 Cd 2.95
Dy 0.0000 0.0000 0.5000  8 Pt 2.86
Zn 0.5000 0.5000 0.5000  8 Pt 2.86
Pt 0.0000 0.5000 0.2612  4 Dy 2.86-2.95, 2 Zn 2.86, 2 Cd 2.95
Cd 0.0000 0.0000 0.0000  8 Pt 2.95
Pt 0.5000 0.0000 0.2612  4 Dy 2.86-2.95, 2 Zn 2.86, 2 Cd 2.95
Dy 0.5000 0.5000 0.0000  8 Pt 2.95
Pt 0.5000 0.0000 0.7388  4 Dy 2.86-2.95, 2 Zn 2.86, 2 Cd 2.95

Values from the calculation:
The energy of formation from the pure elements comes out at -6.75 eV/f.u. For the total magnetic moment, the calculation gives 0.00 μB per atom.

---

# 7
VASP calculation (PBE) on a geometry-optimized RbDyCdS3 structure.

Unit cell a=8.5937 b=4.1409 c=10.3491 alpha=90.00 beta=109.43 gamma=90.00
Last column: nearest neighbours and their distance in Å.
Sites, in units of the cell vectors:
Dy 0.6773 0.2500 0.1290  5 S 2.66-2.79
S 0.5297 0.2500 0.8590  3 Dy 2.66-2.76
S 0.2279 0.7500 0.5590  3 Cd 2.57-2.69
S 0.7721 0.2500 0.4410  3 Cd 2.57-2.69
Cd 0.0849 0.2500 0.6147  4 S 2.49-2.69
Cd 0.9151 0.7500 0.3853  4 S 2.49-2.69
Rb 0.7576 0.7500 0.7432  4 S 3.33-3.47
Dy 0.3227 0.7500 0.8710  5 S 2.66-2.79
S 0.8992 0.7500 0.1404  1 Cd 2.49, 2 Dy 2.79
S 0.1008 0.2500 0.8596  1 Cd 2.49, 2 Dy 2.79
Rb 0.2424 0.2500 0.2568  4 S 3.33-3.47
S 0.4703 0.7500 0.1410  3 Dy 2.66-2.76

Values from the calculation:
For the total magnetic moment, the calculation gives 0.00 μB per atom. For the electronic total energy, the calculation gives -4.54 eV per atom.

---

# 8
VASP calculation (PBE) on a geometry-optimized RbDyCdS3 structure.

Unit cell a=8.8634 b=8.8634 c=8.9888 alpha=102.65 beta=102.65 gamma=26.67
Last column: nearest neighbours and their distance in Å.
Sites, in units of the cell vectors:
S 0.6606 0.6606 0.7731  1 Cd 2.63, 2 Dy 2.71
Dy 0.1694 0.1694 0.5804  6 S 2.71-2.85
Rb 0.8524 0.8524 0.9358  7 S 3.22-3.39
Cd 0.4960 0.4960 0.2798  4 S 2.53-2.84
S 0.3394 0.3394 0.2269  1 Cd 2.63, 2 Dy 2.71
Dy 0.8306 0.8306 0.4196  6 S 2.71-2.85
Rb 0.1476 0.1476 0.0642  7 S 3.22-3.39
S 0.5000 0.5000 0.0000  2 Cd 2.53
S 0.3324 0.3324 0.6288  3 Dy 2.75-2.77, 1 Cd 2.89
S 0.0000 0.0000 0.5000  4 Cd 2.84, 2 Dy 2.85
S 0.6676 0.6676 0.3712  3 Dy 2.75-2.77, 1 Cd 2.89
Cd 0.5040 0.5040 0.7202  4 S 2.53-2.84

Values from the calculation:
For the total magnetic moment, the calculation gives 0.00 μB per atom. For the electronic total energy, the calculation gives -4.49 eV per atom.

---

# 9
VASP calculation (PBE) on a geometry-optimized DyTlCdS3 structure.

Unit cell a=4.0985 b=12.0925 c=12.2882 alpha=90.00 beta=90.00 gamma=90.00
Last column: nearest neighbours and their distance in Å.
Sites, in units of the cell vectors:
Dy 0.7500 0.0336 0.6588  6 S 2.74-2.83
Dy 0.2500 0.4664 0.1588  6 S 2.74-2.83
S 0.2500 0.7407 0.3249  2 Cd 2.59, 1 Dy 2.74
Dy 0.2500 0.9664 0.3412  6 S 2.74-2.83
S 0.7500 0.4625 0.3139  1 Cd 2.57, 2 Dy 2.80
Tl 0.2500 0.3555 0.5170  3 S 3.03-3.05
S 0.7500 0.5917 0.0644  1 Cd 2.52, 2 Dy 2.80
Tl 0.2500 0.8555 0.9830  3 S 3.03-3.05
S 0.7500 0.7593 0.8249  2 Cd 2.59, 1 Dy 2.74
S 0.2500 0.9083 0.5644  1 Cd 2.52, 2 Dy 2.80
Tl 0.7500 0.6445 0.4830  3 S 3.03-3.05
S 0.7500 0.2593 0.6751  2 Cd 2.59, 1 Dy 2.74
Cd 0.2500 0.2494 0.8032  4 S 2.52-2.59
S 0.2500 0.5375 0.6861  1 Cd 2.57, 2 Dy 2.80
S 0.2500 0.4083 0.9356  1 Cd 2.52, 2 Dy 2.80
Tl 0.7500 0.1445 0.0170  3 S 3.03-3.05
S 0.7500 0.0917 0.4356  1 Cd 2.52, 2 Dy 2.80
S 0.2500 0.2407 0.1751  2 Cd 2.59, 1 Dy 2.74
Cd 0.7500 0.2506 0.3032  4 S 2.52-2.59
Cd 0.7500 0.7506 0.1968  4 S 2.52-2.59
Dy 0.7500 0.5336 0.8412  6 S 2.74-2.83
Cd 0.2500 0.7494 0.6968  4 S 2.52-2.59
S 0.7500 0.9625 0.1861  1 Cd 2.57, 2 Dy 2.80
S 0.2500 0.0375 0.8139  1 Cd 2.57, 2 Dy 2.80

Values from the calculation:
For the total magnetic moment, the calculation gives 0.00 μB per atom. For the electronic total energy, the calculation gives -4.48 eV per atom.

---

# 10
VASP calculation (PBE) on a geometry-optimized DyTlCdS3 structure.

Unit cell a=4.0853 b=10.7524 c=7.4212 alpha=90.00 beta=105.98 gamma=90.00
Last column: nearest neighbours and their distance in Å.
Sites, in units of the cell vectors:
S 0.6281 0.7918 0.2561  1 Cd 2.48, 2 Dy 2.78
Dy 0.0000 0.7500 0.0000  6 S 2.78-2.82
S 0.0604 0.5000 0.1208  2 Cd 2.61, 2 Dy 2.82
Tl 0.2675 0.0000 0.5349  4 S 3.19-3.47
S 0.6281 0.2082 0.2561  1 Cd 2.48, 2 Dy 2.78
Cd 0.5530 0.0000 0.1059  4 S 2.48-2.61
S 0.3719 0.7082 0.7439  1 Cd 2.48, 2 Dy 2.78
S 0.3719 0.2918 0.7439  1 Cd 2.48, 2 Dy 2.78
Dy 0.0000 0.2500 0.0000  6 S 2.78-2.82
S 0.9396 0.0000 0.8792  2 Cd 2.61, 2 Dy 2.82
Cd 0.4470 0.5000 0.8941  4 S 2.48-2.61
Tl 0.7325 0.5000 0.4651  4 S 3.19-3.47

Values from the calculation:
For the total magnetic moment, the calculation gives 0.00 μB per atom. For the electronic total energy, the calculation gives -4.50 eV per atom.

---

# 11
VASP calculation (PBE) on a geometry-optimized DyScCd6 structure.

Unit cell a=4.7952 b=6.3706 c=6.3706 alpha=67.72 beta=90.00 gamma=90.00
Last column: nearest neighbours and their distance in Å.
Sites, in units of the cell vectors:
Dy 0.0000 0.8692 0.8692  10 Cd 3.13-3.27
Cd 0.0000 0.3187 0.3187  8 Cd 2.99-3.34, 2 Sc 3.11
Cd 0.5000 0.1883 0.6212  7 Cd 2.99-3.25, 2 Sc 3.14-3.27, 2 Dy 3.15
Sc 0.5000 0.1321 0.1321  10 Cd 3.11-3.27
Cd 0.0000 0.3777 0.8172  6 Cd 2.98-3.15, 2 Dy 3.13-3.27, 2 Sc 3.14
Cd 0.0000 0.8172 0.3777  6 Cd 2.98-3.15, 2 Dy 3.13-3.27, 2 Sc 3.14
Cd 0.5000 0.6212 0.1883  7 Cd 2.99-3.25, 2 Sc 3.14-3.27, 2 Dy 3.15
Cd 0.5000 0.6756 0.6756  8 Cd 2.98-3.25, 2 Dy 3.15

Values from the calculation:
The energy of formation from the pure elements comes out at -2.03 eV/f.u. For the total magnetic moment, the calculation gives 0.00 μB per atom.

---

# 12
VASP calculation (PBE) on a geometry-optimized DyScCd6 structure.

Unit cell a=5.0027 b=5.0027 c=7.0990 alpha=90.00 beta=90.00 gamma=90.00
Last column: nearest neighbours and their distance in Å.
Sites, in units of the cell vectors:
Cd 0.0000 0.5000 0.7600  2 Sc 3.03, 4 Cd 3.03-3.11, 2 Dy 3.11
Cd 0.0000 0.5000 0.2400  2 Sc 3.03, 4 Cd 3.03-3.11, 2 Dy 3.11
Cd 0.5000 0.0000 0.7600  2 Sc 3.03, 4 Cd 3.03-3.11, 2 Dy 3.11
Sc 0.5000 0.5000 0.0000  8 Cd 3.03
Cd 0.5000 0.0000 0.2400  2 Sc 3.03, 4 Cd 3.03-3.11, 2 Dy 3.11
Cd 0.0000 0.0000 0.0000  8 Cd 3.03
Dy 0.0000 0.0000 0.5000  8 Cd 3.11
Cd 0.5000 0.5000 0.5000  8 Cd 3.11

Values from the calculation:
The energy of formation from the pure elements comes out at -1.94 eV/f.u. For the total magnetic moment, the calculation gives 0.00 μB per atom.

---

Repeat the tenth record exactly.
VASP calculation (PBE) on a geometry-optimized DyTlCdS3 structure.

Unit cell a=4.0853 b=10.7524 c=7.4212 alpha=90.00 beta=105.98 gamma=90.00
Last column: nearest neighbours and their distance in Å.
Sites, in units of the cell vectors:
S 0.6281 0.7918 0.2561  1 Cd 2.48, 2 Dy 2.78
Dy 0.0000 0.7500 0.0000  6 S 2.78-2.82
S 0.0604 0.5000 0.1208  2 Cd 2.61, 2 Dy 2.82
Tl 0.2675 0.0000 0.5349  4 S 3.19-3.47
S 0.6281 0.2082 0.2561  1 Cd 2.48, 2 Dy 2.78
Cd 0.5530 0.0000 0.1059  4 S 2.48-2.61
S 0.3719 0.7082 0.7439  1 Cd 2.48, 2 Dy 2.78
S 0.3719 0.2918 0.7439  1 Cd 2.48, 2 Dy 2.78
Dy 0.0000 0.2500 0.0000  6 S 2.78-2.82
S 0.9396 0.0000 0.8792  2 Cd 2.61, 2 Dy 2.82
Cd 0.4470 0.5000 0.8941  4 S 2.48-2.61
Tl 0.7325 0.5000 0.4651  4 S 3.19-3.47

Values from the calculation:
For the total magnetic moment, the calculation gives 0.00 μB per atom. For the electronic total energy, the calculation gives -4.50 eV per atom.